[1]
! Dy2TmGaN (PBE, relaxed); values from VASP
&SYSTEM
  ibrav = 0, nat = 5, ntyp = 4
/
ATOMIC_SPECIES
Dy 162.50 Dy.upf
Tm 168.93 Tm.upf
Ga 69.72 Ga.upf
N 14.01 N.upf
CELL_PARAMETERS angstrom
4.750 0.000 0.000
0.000 4.750 0.000
0.000 0.000 4.664
ATOMIC_POSITIONS crystal
Dy 0.000 0.500 0.000
Dy 0.500 0.000 0.000
Tm 0.000 0.000 0.500
Ga 0.500 0.500 0.500
N 0.000 0.000 0.000
! D(E_F), states/eV/cell: 2.3
! Mass density, g cm⁻³: 9.12
! Symmetry: No. 123
! Formation energy from raw total energies, eV per formula unit: -4.934



[2]
! RePRh (PBE, relaxed); values from VASP
&SYSTEM
  ibrav = 0, nat = 3, ntyp = 3
/
ATOMIC_SPECIES
Re 186.21 Re.upf
P 30.97 P.upf
Rh 102.91 Rh.upf
CELL_PARAMETERS angstrom
-1.453 1.951 3.718
1.453 -1.951 3.718
1.453 1.951 -3.718
ATOMIC_POSITIONS crystal
Re 0.000 0.000 0.000
P 0.672 0.672 0.000
Rh 0.348 0.348 0.000
! D(E_F), states/eV/cell: 2.4
! Mass density, g cm⁻³: 12.61
! Symmetry: No. 44
! Polymorph energy (0 for the lowest one), meV per atom: 362



[3]
! ZrAgRu2 (PBE, relaxed); values from VASP
&SYSTEM
  ibrav = 0, nat = 4, ntyp = 3
/
ATOMIC_SPECIES
Zr 91.22 Zr.upf
Ag 107.87 Ag.upf
Ru 101.07 Ru.upf
CELL_PARAMETERS angstrom
1.510 0.872 8.809
-1.510 0.872 8.809
0.000 -1.744 8.809
ATOMIC_POSITIONS crystal
Zr 0.000 0.000 0.000
Ag 0.500 0.500 0.500
Ru 0.255 0.255 0.255
Ru 0.745 0.745 0.745
! D(E_F), states/eV/cell: 3.9
! Mass density, g cm⁻³: 9.57
! Symmetry: No. 166
! Polymorph energy (0 for the lowest one), meV per atom: 279



[4]
! LaYErSc (PBE, relaxed); values from VASP
&SYSTEM
  ibrav = 0, nat = 4, ntyp = 4
/
ATOMIC_SPECIES
La 138.91 La.upf
Y 88.91 Y.upf
Er 167.26 Er.upf
Sc 44.96 Sc.upf
CELL_PARAMETERS angstrom
0.000 3.969 3.969
3.969 0.000 3.969
3.969 3.969 0.000
ATOMIC_POSITIONS crystal
La 0.000 0.000 0.000
Y 0.500 0.500 0.500
Er 0.250 0.250 0.250
Sc 0.750 0.750 0.750
! D(E_F), states/eV/cell: 6.0
! Mass density, g cm⁻³: 5.85
! Symmetry: No. 216
! Polymorph energy (0 for the lowest one), meV per atom: 49



[5]
! Ac2Al6Pd9 (PBE, relaxed); values from VASP
&SYSTEM
  ibrav = 0, nat = 17, ntyp = 3
/
ATOMIC_SPECIES
Ac 227.00 Ac.upf
Al 26.98 Al.upf
Pd 106.42 Pd.upf
CELL_PARAMETERS angstrom
5.739 0.000 0.000
-2.869 4.970 0.000
0.000 0.000 11.808
ATOMIC_POSITIONS crystal
Ac 0.000 0.000 0.199
Ac 0.000 0.000 0.801
Al 0.333 0.667 0.163
Al 0.333 0.667 0.500
Al 0.333 0.667 0.837
Al 0.667 0.333 0.163
Al 0.667 0.333 0.500
Al 0.667 0.333 0.837
Pd 0.000 0.500 0.000
Pd 0.000 0.500 0.333
Pd 0.000 0.500 0.667
Pd 0.500 0.000 0.000
Pd 0.500 0.000 0.333
Pd 0.500 0.000 0.667
Pd 0.500 0.500 0.000
Pd 0.500 0.500 0.333
Pd 0.500 0.500 0.667
! D(E_F), states/eV/cell: 8.5
! Mass density, g cm⁻³: 7.76
! Symmetry: No. 191
! Uncorrected energy, eV/atom: -5.330



[6]
! AlCr2 (PBE, relaxed); values from VASP
&SYSTEM
  ibrav = 0, nat = 3, ntyp = 2
/
ATOMIC_SPECIES
Al 26.98 Al.upf
Cr 52.00 Cr.upf
CELL_PARAMETERS angstrom
4.101 0.000 0.000
-2.051 3.552 0.000
0.000 0.000 2.551
ATOMIC_POSITIONS crystal
Al 0.000 0.000 0.000
Cr 0.333 0.667 0.386
Cr 0.667 0.333 0.614
! D(E_F), states/eV/cell: 1.6
! Mass density, g cm⁻³: 5.85
! Symmetry: No. 164
! Uncorrected energy, eV/atom: -7.778



[7]
! BaPmBr4 (PBE, relaxed); values from VASP
&SYSTEM
  ibrav = 0, nat = 12, ntyp = 3
/
ATOMIC_SPECIES
Ba 137.33 Ba.upf
Pm 145.00 Pm.upf
Br 79.90 Br.upf
CELL_PARAMETERS angstrom
4.869 -7.102 0.000
4.869 7.102 0.000
-3.729 0.000 5.890
ATOMIC_POSITIONS crystal
Ba 0.137 0.863 0.750
Ba 0.863 0.137 0.250
Pm 0.500 0.500 0.250
Pm 0.500 0.500 0.750
Br 0.148 0.271 0.783
Br 0.218 0.558 0.419
Br 0.271 0.148 0.283
Br 0.442 0.782 0.081
Br 0.558 0.218 0.919
Br 0.729 0.852 0.717
Br 0.782 0.442 0.581
Br 0.852 0.729 0.217
! D(E_F), states/eV/cell: 0.1
! Mass density, g cm⁻³: 4.91
! Symmetry: No. 15
! Formation energy from raw total energies, eV per formula unit: -11.579



[8]
! Pm4Cd2O (PBE, relaxed); values from VASP
&SYSTEM
  ibrav = 0, nat = 7, ntyp = 3
/
ATOMIC_SPECIES
Pm 145.00 Pm.upf
Cd 112.41 Cd.upf
O 16.00 O.upf
CELL_PARAMETERS angstrom
2.531 -12.102 0.000
2.531 12.102 0.000
0.000 0.000 3.468
ATOMIC_POSITIONS crystal
Pm 0.068 0.932 0.000
Pm 0.200 0.800 0.500
Pm 0.800 0.200 0.500
Pm 0.932 0.068 0.000
Cd 0.344 0.656 0.000
Cd 0.656 0.344 0.000
O 0.000 0.000 0.500
! D(E_F), states/eV/cell: 6.5
! Mass density, g cm⁻³: 6.42
! Symmetry: No. 65
! Polymorph energy (0 for the lowest one), meV per atom: 238
! Formation energy from raw total energies, eV per formula unit: -4.683



[9]
! LiDySnPd (PBE, relaxed); values from VASP
&SYSTEM
  ibrav = 0, nat = 4, ntyp = 4
/
ATOMIC_SPECIES
Li 6.94 Li.upf
Dy 162.50 Dy.upf
Sn 118.71 Sn.upf
Pd 106.42 Pd.upf
CELL_PARAMETERS angstrom
0.000 3.367 3.367
3.367 0.000 3.367
3.367 3.367 0.000
ATOMIC_POSITIONS crystal
Li 0.000 0.000 0.000
Dy 0.750 0.750 0.750
Sn 0.250 0.250 0.250
Pd 0.500 0.500 0.500
! D(E_F), states/eV/cell: 0.1
! Mass density, g cm⁻³: 8.58
! Symmetry: No. 216
! Uncorrected energy, eV/atom: -4.731



[10]
! SbHPdI2 (PBE, relaxed); values from VASP
&SYSTEM
  ibrav = 0, nat = 5, ntyp = 4
/
ATOMIC_SPECIES
Sb 121.76 Sb.upf
H 1.01 H.upf
Pd 106.42 Pd.upf
I 126.90 I.upf
CELL_PARAMETERS angstrom
5.494 0.000 0.000
0.000 5.494 0.000
0.000 0.000 3.868
ATOMIC_POSITIONS crystal
Sb 0.000 0.000 0.000
H 0.000 0.000 0.500
Pd 0.500 0.500 0.000
I 0.000 0.500 0.500
I 0.500 0.000 0.500
! D(E_F), states/eV/cell: 2.9
! Mass density, g cm⁻³: 6.87
! Symmetry: No. 123
! Polymorph energy (0 for the lowest one), meV per atom: 0



[11]
! ReNi2Te (PBE, relaxed); values from VASP
&SYSTEM
  ibrav = 0, nat = 4, ntyp = 3
/
ATOMIC_SPECIES
Re 186.21 Re.upf
Ni 58.69 Ni.upf
Te 127.60 Te.upf
CELL_PARAMETERS angstrom
1.461 0.843 8.327
-1.461 0.843 8.327
0.000 -1.687 8.327
ATOMIC_POSITIONS crystal
Re 0.000 0.000 0.000
Ni 0.255 0.255 0.255
Ni 0.745 0.745 0.745
Te 0.500 0.500 0.500
! D(E_F), states/eV/cell: 3.8
! Mass density, g cm⁻³: 11.63
! Symmetry: No. 166
! Formation energy from raw total energies, eV per formula unit: 1.886



[12]
! TaTlAs2 (PBE, relaxed); values from VASP
&SYSTEM
  ibrav = 0, nat = 4, ntyp = 3
/
ATOMIC_SPECIES
Ta 180.95 Ta.upf
Tl 204.38 Tl.upf
As 74.92 As.upf
CELL_PARAMETERS angstrom
1.848 -2.482 0.000
1.848 2.482 0.000
0.000 0.000 9.868
ATOMIC_POSITIONS crystal
Ta 0.000 0.000 0.000
Tl 0.000 0.000 0.500
As 0.500 0.500 0.190
As 0.500 0.500 0.810
! D(E_F), states/eV/cell: 1.5
! Mass density, g cm⁻³: 9.82
! Symmetry: No. 65
! Polymorph energy (0 for the lowest one), meV per atom: 85



> The highest mass density belongs to which entry?

RePRh



> Among the records above, which one has the highest D(E_F)?

Ac2Al6Pd9